Entry 1:
K2ErAgI6 PBE optimized geometry; calculated density = 4.6 g cm⁻³; symmetry = No. 14; spin magnetization = 0.00 μB per formula unit; total DFT energy (no corrections) = -3.067 eV/atom; formation energy from raw total energies = -27.119 kcal/mol of atoms; N(E_F) = 0.000 states/eV/atom
1.0
-7.781 -2.004 -1.448
-0.885 -2.488 8.196
-3.305 10.647 2.875
K Er Ag I
4 2 2 12
direct
0.030 0.913 0.251 K
0.530 0.587 0.751 K
0.970 0.087 0.749 K
0.470 0.413 0.249 K
0.500 0.000 0.500 Er
0.000 0.500 0.000 Er
0.500 0.000 0.000 Ag
0.000 0.500 0.500 Ag
0.302 0.689 0.052 I
0.802 0.811 0.552 I
0.698 0.311 0.948 I
0.198 0.189 0.448 I
0.315 0.703 0.450 I
0.815 0.797 0.950 I
0.685 0.297 0.550 I
0.185 0.203 0.050 I
0.895 0.520 0.252 I
0.395 0.980 0.752 I
0.105 0.480 0.748 I
0.605 0.020 0.248 I

Entry 2:
KErAgI5 PBE optimized geometry; calculated density = 4.4 g cm⁻³; symmetry = No. 15; spin magnetization = 0.00 μB per formula unit; total DFT energy (no corrections) = -3.133 eV/atom; formation energy from raw total energies = -25.373 kcal/mol of atoms; N(E_F) = 0.000 states/eV/atom
1.0
-2.554 6.977 3.978
3.956 -4.907 5.594
8.530 3.793 -6.468
K Er Ag I
2 2 2 10
direct
0.361 0.639 0.250 K
0.639 0.361 0.750 K
0.000 0.000 0.500 Er
0.000 0.000 0.000 Er
0.690 0.310 0.250 Ag
0.310 0.690 0.750 Ag
0.083 0.917 0.250 I
0.917 0.083 0.750 I
0.927 0.320 0.107 I
0.073 0.680 0.893 I
0.680 0.073 0.393 I
0.320 0.927 0.607 I
0.758 0.626 0.447 I
0.242 0.374 0.553 I
0.374 0.242 0.053 I
0.626 0.758 0.947 I

Entry 3:
Li2ErAgI6 PBE optimized geometry; calculated density = 4.9 g cm⁻³; symmetry = No. 146; spin magnetization = 0.00 μB per formula unit; total DFT energy (no corrections) = -3.108 eV/atom; formation energy from raw total energies = -24.310 kcal/mol of atoms; N(E_F) = 0.000 states/eV/atom
1.0
7.584 0.000 -0.001
3.792 6.567 0.000
3.792 2.190 7.125
Li Er Ag I
2 1 1 6
direct
0.526 0.525 0.423 Li
0.001 0.001 0.997 Li
0.332 0.332 0.003 Er
0.747 0.748 0.757 Ag
0.599 0.254 0.219 I
0.254 0.928 0.219 I
0.928 0.599 0.219 I
0.396 0.749 0.726 I
0.749 0.129 0.726 I
0.128 0.397 0.726 I

Entry 4:
LiErAg2I6 PBE optimized geometry; calculated density = 5.3 g cm⁻³; symmetry = No. 148; spin magnetization = 0.00 μB per formula unit; total DFT energy (no corrections) = -2.989 eV/atom; formation energy from raw total energies = -19.389 kcal/mol of atoms; N(E_F) = 0.000 states/eV/atom
1.0
-5.509 5.355 0.276
-1.808 -7.423 0.858
5.195 -0.511 6.518
Li Er Ag I
1 1 2 6
direct
0.997 0.998 0.980 Li
0.997 0.498 0.480 Er
0.510 0.755 0.251 Ag
0.483 0.241 0.710 Ag
0.495 0.885 0.730 I
0.498 0.110 0.230 I
0.858 0.747 0.230 I
0.134 0.386 0.230 I
0.859 0.609 0.730 I
0.135 0.249 0.730 I

Entry 5:
Na2ErAgI6 PBE optimized geometry; calculated density = 4.4 g cm⁻³; symmetry = No. 1; spin magnetization = 0.00 μB per formula unit; total DFT energy (no corrections) = -3.025 eV/atom; formation energy from raw total energies = -25.121 kcal/mol of atoms; N(E_F) = 0.000 states/eV/atom
1.0
-1.848 0.025 7.683
5.717 -0.440 5.442
1.779 7.357 4.474
Na Er Ag I
2 1 1 6
direct
0.527 0.527 0.419 Na
0.008 0.008 0.976 Na
0.331 0.331 0.006 Er
0.745 0.745 0.765 Ag
0.586 0.249 0.213 I
0.249 0.952 0.213 I
0.952 0.586 0.214 I
0.419 0.724 0.736 I
0.724 0.121 0.736 I
0.121 0.419 0.737 I

Entry 6:
Rb2ErAgI6 PBE optimized geometry; calculated density = 4.7 g cm⁻³; symmetry = No. 14; spin magnetization = 0.00 μB per formula unit; total DFT energy (no corrections) = -3.055 eV/atom; formation energy from raw total energies = -27.431 kcal/mol of atoms; N(E_F) = 0.000 states/eV/atom
1.0
-7.104 -3.943 2.061
4.600 -6.691 3.052
0.293 5.011 10.544
Rb Er Ag I
4 2 2 12
direct
0.021 0.928 0.251 Rb
0.521 0.572 0.751 Rb
0.979 0.072 0.749 Rb
0.479 0.428 0.249 Rb
0.500 0.000 0.500 Er
0.000 0.500 0.000 Er
0.500 0.000 0.000 Ag
0.000 0.500 0.500 Ag
0.292 0.697 0.042 I
0.792 0.803 0.542 I
0.708 0.303 0.958 I
0.208 0.197 0.458 I
0.305 0.710 0.461 I
0.805 0.790 0.961 I
0.695 0.290 0.539 I
0.195 0.210 0.039 I
0.917 0.510 0.252 I
0.417 0.990 0.752 I
0.083 0.490 0.748 I
0.583 0.010 0.248 I